No. 1
A plane-wave DFT calculation with PBE was carried out for BaNaTc3 after structural relaxation.

## Properties
* mass density: 5.34 g/cm³
* distance to the lowest polymorph of the same formula: 2.31 eV per formula unit
* energy of formation from the pure elements: 2.68 eV/atom
* calculated total energy: -4.18 eV per atom

a b c (Å): 5.209 5.209 5.209
angles (deg): 90.00 90.00 90.00
Site moments in Bohr magnetons follow the coordinates.
Positions (direct):
Na (0.500, 0.500, 0.500)  -0.01
Ba (0.000, 0.000, 0.000)  -0.05
Tc (0.000, 0.500, 0.000)  2.39
Tc (0.000, 0.000, 0.500)  2.08
Tc (0.500, 0.000, 0.000)  2.46

---

No. 2
A plane-wave DFT calculation with PBE was carried out for BaNa2TcW after structural relaxation.

## Properties
* mass density: 3.97 g/cm³
* energy of formation from the pure elements: 2.19 eV/atom
* calculated total energy: -3.38 eV per atom

a b c (Å): 5.712 5.970 5.712
angles (deg): 90.00 90.00 90.00
Site moments in Bohr magnetons follow the coordinates.
Positions (direct):
Na (0.000, 0.000, 0.500)  0.00
Na (0.500, 0.000, 0.000)  0.01
Ba (0.000, 0.500, 0.000)  0.01
W (0.000, 0.000, 0.000)  2.57
Tc (0.500, 0.500, 0.500)  3.50